Record 1
Compound: Tb2GdIn3NiGe2
Source: OQMD
Functional: PBE
Structure: optimized geometry

```
Tb2GdIn3NiGe2
1.0
4.262 0.000 0.000
0.000 6.358 3.669
0.000 -6.358 3.669
Gd Ge In Ni Tb
1 2 3 1 2
Direct
0.000 0.597 0.597
0.500 0.667 0.333
0.500 0.333 0.667
0.500 0.761 0.000
0.500 0.239 0.239
0.500 0.000 0.761
0.000 0.001 0.001
0.000 0.402 0.000
0.000 0.000 0.402
```

Calculated values
For the magnetization, the calculation gives 0.00 μB per atom. The total energy comes out at -4.722 eV per atom. The density comes out at 8.5 g/cm³. As for the space group: No. 38.

---

Record 2
Compound: Ho2Al4AgPd
Source: OQMD
Functional: PBE
Structure: optimized geometry

```
Ho2Al4AgPd
1.0
-2.586 6.235 0.814
0.612 -0.466 5.514
4.141 1.261 3.501
Ag Al Ho Pd
1 4 2 1
Direct
0.500 0.793 0.793
0.298 0.368 0.368
0.702 0.368 0.368
0.194 0.631 0.631
0.806 0.631 0.631
0.500 0.080 0.080
0.000 0.923 0.923
0.000 0.206 0.206
```

Calculated values
For the magnetization, the calculation gives 0.00 μB per atom. The total energy comes out at -4.617 eV per atom. The density comes out at 7.1 g/cm³. As for the space group: No. 38.

---

Record 3
Compound: SmLu2Al7Cu2
Source: OQMD
Functional: PBE
Structure: optimized geometry

```
SmLu2Al7Cu2
1.0
5.569 3.377 6.244
8.645 1.205 2.284
6.408 6.145 1.608
Al Cu Lu Sm
7 2 2 1
Direct
0.583 0.583 0.074
0.926 0.417 0.417
0.417 0.926 0.417
0.500 0.500 0.500
0.583 0.074 0.583
0.074 0.583 0.583
0.417 0.417 0.926
0.335 0.335 0.335
0.665 0.665 0.665
0.142 0.142 0.142
0.858 0.858 0.858
0.000 0.000 0.000
```

Calculated values
For the magnetization, the calculation gives 0.00 μB per atom. The total energy comes out at -4.430 eV per atom. The density comes out at 6.2 g/cm³. As for the space group: No. 166.

---

Record 4
Compound: DyYCu2
Source: OQMD
Functional: PBE
Structure: optimized geometry

```
DyYCu2
1.0
-2.177 -0.221 3.914
3.726 -3.577 1.871
4.803 -0.113 2.665
Cu Dy Y
2 1 1
Direct
0.500 0.072 0.072
0.000 0.929 0.929
0.000 0.640 0.640
0.500 0.359 0.359
```

Calculated values
For the magnetization, the calculation gives 0.00 μB per atom. The formation energy is -0.25 eV per atom. The density comes out at 7.3 g/cm³. As for the space group: No. 38. For the offset from the most stable computed form, the calculation gives 8 meV/atom.

---

Record 5
Compound: Ho6Ni2Ge
Source: OQMD
Functional: PBE
Structure: optimized geometry

```
Ho6Ni2Ge
1.0
7.441 0.000 0.000
-3.721 6.444 0.000
0.000 0.000 4.458
Ge Ho Ni
1 6 2
Direct
0.000 0.000 0.500
0.274 0.000 0.000
0.000 0.274 0.000
0.726 0.726 0.000
0.597 0.000 0.500
0.403 0.403 0.500
0.000 0.597 0.500
0.667 0.333 0.000
0.333 0.667 0.000
```

Calculated values
For the magnetization, the calculation gives 0.00 μB per atom. The total energy comes out at -5.132 eV per atom. The density comes out at 9.2 g/cm³. As for the space group: No. 189.

---

Record 6
Compound: ScSnAu
Source: OQMD
Functional: PBE
Structure: optimized geometry

```
ScSnAu
1.0
7.060 0.000 0.000
0.000 4.432 0.000
0.000 0.000 8.182
Au Sc Sn
4 4 4
Direct
0.850 0.250 0.068
0.350 0.250 0.432
0.650 0.750 0.568
0.150 0.750 0.932
0.522 0.750 0.204
0.022 0.750 0.296
0.978 0.250 0.704
0.478 0.250 0.796
0.260 0.250 0.108
0.760 0.250 0.392
0.240 0.750 0.608
0.740 0.750 0.892
```

Calculated values
For the magnetization, the calculation gives 0.00 μB per atom. The total energy comes out at -5.131 eV per atom. The density comes out at 9.4 g/cm³. As for the space group: No. 62.

---

Record 7
Compound: KTe2OsAuS
Source: OQMD
Functional: PBE
Structure: optimized geometry

```
KTe2OsAuS
1.0
2.024 -8.056 0.000
2.024 8.056 0.000
0.000 0.000 9.940
Au K Os S Te
2 2 2 2 4
Direct
0.061 0.939 0.250
0.939 0.061 0.750
0.732 0.268 0.250
0.268 0.732 0.750
0.500 0.500 0.000
0.500 0.500 0.500
0.454 0.546 0.250
0.546 0.454 0.750
0.888 0.112 0.002
0.888 0.112 0.498
0.112 0.888 0.502
0.112 0.888 0.998
```

Calculated values
For the magnetization, the calculation gives 0.00 μB per atom. The total energy comes out at -4.316 eV per atom. The density comes out at 7.3 g/cm³. As for the space group: No. 63.

---

Record 8
Compound: HoErO4
Source: OQMD
Functional: PBE
Structure: optimized geometry

```
HoErO4
1.0
3.379 -1.831 0.000
3.379 1.831 0.000
-0.664 0.000 6.070
Er Ho O
1 1 4
Direct
0.318 0.318 0.772
0.682 0.682 0.229
0.353 0.353 0.145
0.094 0.094 0.447
0.906 0.906 0.554
0.647 0.647 0.854
```

Calculated values
For the magnetization, the calculation gives 0.00 μB per atom. The total energy comes out at -7.832 eV per atom. The density comes out at 8.8 g/cm³. As for the space group: No. 8.

---

- density of number 7 (KTe2OsAuS)?
  7.3 g/cm³

---

- Look up the magnetization of the third one.
  0.00 μB per atom